Density functional theory data (PBE-GGA) for Zr3InGa after structural relaxation.

```
Zr3InGa
1.0
-0.5814 -3.1249 3.8839
4.5322 1.2969 1.7219
-2.0758 3.7069 2.6717
Ga Zr In
1 3 1
Direct
0.0000 0.0000 0.0000 Ga
0.0000 0.5000 0.0000 Zr
0.0000 0.0000 0.5000 Zr
0.5000 0.0000 0.0000 Zr
0.5000 0.5000 0.5000 In
```

Results
Density of states at the Fermi level in states/eV per cell: 4.53
Total magnetic moment in Bohr magnetons per cell: 0.0
Offset from the most stable computed form in eV/atom: 0.342


Density functional theory data (PBE-GGA) for ZrIn2Ga2 after structural relaxation.

```
ZrIn2Ga2
1.0
-5.4439 -0.6053 5.2294
-5.2023 -0.5324 -5.4774
0.3937 -3.6806 -0.0162
Ga Zr In
4 2 4
Direct
0.3659 0.8659 0.0000 Ga
0.8659 0.6341 0.0000 Ga
0.6341 0.1341 0.0000 Ga
0.1341 0.3659 0.0000 Ga
0.0000 0.0000 0.0000 Zr
0.5000 0.5000 0.0000 Zr
0.1654 0.6654 0.5000 In
0.6654 0.8346 0.5000 In
0.8346 0.3346 0.5000 In
0.3346 0.1654 0.5000 In
```

Results
Density of states at the Fermi level in states/eV per cell: 6.76
Total magnetic moment in Bohr magnetons per cell: 0.0
Offset from the most stable computed form in eV/atom: 0.000


Density functional theory data (PBE-GGA) for Zr6InGa after structural relaxation.

```
Zr6InGa
1.0
-2.7378 3.4194 -0.6100
-3.3278 -2.3597 1.7080
1.9863 3.0266 8.0516
Zr In Ga
6 1 1
Direct
0.5000 0.5000 0.0000 Zr
0.5000 0.5000 0.5000 Zr
0.5000 0.0000 0.2580 Zr
0.5000 0.0000 0.7420 Zr
0.0000 0.5000 0.2580 Zr
0.0000 0.5000 0.7420 Zr
0.0000 0.0000 0.0000 In
0.0000 0.0000 0.5000 Ga
```

Results
Density of states at the Fermi level in states/eV per cell: 7.46
Total magnetic moment in Bohr magnetons per cell: 0.0
Offset from the most stable computed form in eV/atom: 0.000


Density functional theory data (PBE-GGA) for Zr5InGa2 after structural relaxation.

```
Zr5InGa2
1.0
6.6583 0.0000 -3.1431
-1.4837 6.4909 -3.1431
-0.2199 -0.2759 8.1581
Zr In Ga
10 2 4
Direct
0.5071 0.6932 0.7003 Zr
0.8068 0.9929 0.2997 Zr
0.0000 0.0000 0.0000 Zr
0.5000 0.5000 0.0000 Zr
0.1932 0.0071 0.7003 Zr
0.6932 0.1932 0.7003 Zr
0.0071 0.5071 0.7003 Zr
0.3068 0.8068 0.2997 Zr
0.9929 0.4929 0.2997 Zr
0.4929 0.3068 0.2997 Zr
0.7500 0.7500 0.5000 In
0.2500 0.2500 0.5000 In
0.1390 0.3610 0.0000 Ga
0.6390 0.1390 0.0000 Ga
0.3610 0.8610 0.0000 Ga
0.8610 0.6390 0.0000 Ga
```

Results
Calculated total energy in eV per cell: -109.396
Density of states at the Fermi level in states/eV per cell: 25.39
Total magnetic moment in Bohr magnetons per cell: 0.0


Density functional theory data (PBE-GGA) for Zr6In2Ga after structural relaxation.

```
Zr6In2Ga
1.0
-1.5442 2.0954 3.9507
0.1126 -5.9016 3.1741
7.4389 3.1038 -1.5686
Zr In Ga
6 2 1
Direct
0.1606 0.4039 0.3218 Zr
0.8394 0.0821 0.6782 Zr
0.8394 0.5961 0.6782 Zr
0.5000 0.2382 0.0000 Zr
0.1606 0.9179 0.3218 Zr
0.5000 0.7618 0.0000 Zr
0.6663 0.6667 0.3334 In
0.3337 0.3333 0.6666 In
0.0000 0.0000 0.0000 Ga
```

Results
Calculated total energy in eV per cell: -58.661
Density of states at the Fermi level in states/eV per cell: 8.13
Total magnetic moment in Bohr magnetons per cell: 0.0


Density functional theory data (PBE-GGA) for ZrInGa3 after structural relaxation.

```
ZrInGa3
1.0
5.3065 0.0000 0.0000
0.0000 5.3065 0.0000
0.0000 0.0000 5.3065
Ga Zr In
3 1 1
Direct
0.0000 0.5000 0.0000 Ga
0.0000 0.0000 0.5000 Ga
0.5000 0.0000 0.0000 Ga
0.0000 0.0000 0.0000 Zr
0.5000 0.5000 0.5000 In
```

Results
Density of states at the Fermi level in states/eV per cell: 5.42
Total magnetic moment in Bohr magnetons per cell: 0.0
Offset from the most stable computed form in eV/atom: 0.000


Density functional theory data (PBE-GGA) for ZrInGa after structural relaxation.

```
ZrInGa
1.0
-0.0580 0.9070 -3.0414
1.7520 -4.1875 -1.2821
-4.6679 0.6197 0.2737
Ga Zr In
1 1 1
Direct
0.1607 0.0000 0.0000 Ga
0.6684 0.6667 0.3333 Zr
0.1708 0.3333 0.6667 In
```

Results
Density of states at the Fermi level in states/eV per cell: 2.72
Total magnetic moment in Bohr magnetons per cell: 0.0
Offset from the most stable computed form in eV/atom: 0.163


Density functional theory data (PBE-GGA) for ZrInGa2 after structural relaxation.

```
ZrInGa2
1.0
7.5715 0.0000 0.0000
0.0000 7.5715 0.0000
3.7858 3.7858 2.9736
Ga Zr In
4 2 2
Direct
0.6337 0.1250 0.2500 Ga
0.1163 0.6250 0.2500 Ga
0.3750 0.3663 0.7500 Ga
0.8750 0.8837 0.7500 Ga
0.5000 0.5000 0.0000 Zr
0.2500 0.7500 0.5000 Zr
0.0000 0.0000 0.0000 In
0.7500 0.2500 0.5000 In
```

Results
Calculated total energy in eV per cell: -34.864
Density of states at the Fermi level in states/eV per cell: 5.96
Total magnetic moment in Bohr magnetons per cell: 0.0


Density functional theory data (PBE-GGA) for ZrIn2Ga2 after structural relaxation.

```
ZrIn2Ga2
1.0
-0.2454 -3.6799 0.2670
2.3571 0.0495 2.8486
-5.3421 -1.0055 6.8377
Ga Zr In
2 1 2
Direct
0.7500 0.2500 0.5000 Ga
0.2500 0.7500 0.5000 Ga
0.0000 0.0000 0.0000 Zr
0.3973 0.3973 0.2055 In
0.6027 0.6027 0.7945 In
```

Results
Density of states at the Fermi level in states/eV per cell: 2.72
Total magnetic moment in Bohr magnetons per cell: 0.0
Offset from the most stable computed form in eV/atom: 0.153


Density functional theory data (PBE-GGA) for ZrInGa after structural relaxation.

```
ZrInGa
1.0
4.2593 0.0000 0.0000
-2.1297 4.7039 0.0000
0.0000 0.0000 6.2122
Zr Ga In
2 2 2
Direct
0.5000 0.0000 0.5000 Zr
0.5000 0.0000 0.0000 Zr
0.1435 0.2869 0.2500 Ga
0.8565 0.7131 0.7500 Ga
0.1771 0.3542 0.7500 In
0.8229 0.6458 0.2500 In
```

Results
Density of states at the Fermi level in states/eV per cell: 3.29
Total magnetic moment in Bohr magnetons per cell: 0.0
Offset from the most stable computed form in eV/atom: 0.100


Density functional theory data (PBE-GGA) for Zr2In2Ga after structural relaxation.

```
Zr2In2Ga
1.0
7.1904 0.0000 0.0000
0.0000 7.1904 0.0000
0.0000 0.0000 4.5156
Ga Zr In
2 4 4
Direct
0.0000 0.0000 0.0000 Ga
0.5000 0.5000 0.0000 Ga
0.3443 0.8443 0.0000 Zr
0.8443 0.6557 0.0000 Zr
0.6557 0.1557 0.0000 Zr
0.1557 0.3443 0.0000 Zr
0.1522 0.6522 0.5000 In
0.6522 0.8478 0.5000 In
0.8478 0.3478 0.5000 In
0.3478 0.1522 0.5000 In
```

Results
Density of states at the Fermi level in states/eV per cell: 8.57
Total magnetic moment in Bohr magnetons per cell: 0.0
Offset from the most stable computed form in eV/atom: 0.000


Density functional theory data (PBE-GGA) for Zr4In5Ga2 after structural relaxation.

```
Zr4In5Ga2
1.0
3.2092 0.0000 0.0000
0.0000 7.6531 -0.0020
0.0000 -0.7417 9.5992
Zr In Ga
4 5 2
Direct
0.5000 0.7431 0.5578 Zr
0.5000 0.1765 0.8719 Zr
0.5000 0.2569 0.4422 Zr
0.5000 0.8235 0.1281 Zr
0.0000 0.5555 0.3110 In
0.0000 0.1775 0.1551 In
0.0000 0.5000 0.0000 In
0.0000 0.8225 0.8449 In
0.0000 0.4445 0.6890 In
0.0000 0.0629 0.6313 Ga
0.0000 0.9371 0.3687 Ga
```

Results
Calculated total energy in eV per cell: -57.548
Density of states at the Fermi level in states/eV per cell: 5.58
Total magnetic moment in Bohr magnetons per cell: 0.0